1) This record from the Alexandria database describes an optimized crystal structure of TiAuS3. The functional is PBE.

Unit cell a=4.6940 b=4.6940 c=4.6940 alpha=90.00 beta=90.00 gamma=90.00
With the nearest neighbours (Å) after each atom.
Sites, in units of the cell vectors:
S 0.0000 0.0000 0.5000  2 Ti 2.35
S 0.5000 0.0000 0.0000  2 Ti 2.35
S 0.0000 0.5000 0.0000  2 Ti 2.35
Au 0.5000 0.5000 0.5000  12 S 3.32
Ti 0.0000 0.0000 0.0000  6 S 2.35

Summary:
For the magnetic moment, the calculation gives 0.000 μB/atom. Its space group is No. 221. The calculation puts the volume at 103 Å³/cell. For the mass density, the calculation gives 5.48 g cm⁻³.

=====

2) This record from the Alexandria database describes an optimized crystal structure of TiAuS3. The functional is PBE.

Unit cell a=4.7601 b=4.7601 c=4.7601 alpha=90.00 beta=90.00 gamma=90.00
With the nearest neighbours (Å) after each atom.
Sites, in units of the cell vectors:
Ti 0.5000 0.5000 0.5000  12 S 3.37
S 0.5000 0.0000 0.0000  2 Au 2.38
S 0.0000 0.0000 0.5000  2 Au 2.38
S 0.0000 0.5000 0.0000  2 Au 2.38
Au 0.0000 0.0000 0.0000  6 S 2.38

Summary:
For the magnetic moment, the calculation gives 0.000 μB/atom. Its space group is No. 221. The calculation puts the volume at 108 Å³/cell. For the mass density, the calculation gives 5.25 g cm⁻³.

=====

Last place for stability: 2)

=====

1) This record from the Alexandria database describes an optimized crystal structure of TlAuS3. The functional is PBE.

Unit cell a=5.1858 b=6.9462 c=8.0801 alpha=90.00 beta=112.21 gamma=90.00
With the nearest neighbours (Å) after each atom.
Sites, in units of the cell vectors:
S 0.0839 0.8954 0.2008  2 Au 2.31-2.33
S 0.9161 0.3954 0.7992  2 Au 2.31-2.33
S 0.7781 0.3073 0.2982  1 S 1.99
S 0.2219 0.8073 0.7018  1 S 1.99
S 0.5050 0.5057 0.3026  1 S 1.99
S 0.4950 0.0057 0.6974  1 S 1.99
Tl 0.3092 0.4121 0.6034  6 S 2.94-3.04
Tl 0.6908 0.9121 0.3966  6 S 2.94-3.04
Au 0.9445 0.1295 0.9812  2 S 2.31-2.33
Au 0.0555 0.6295 0.0188  2 S 2.31-2.33

Summary:
For the magnetic moment, the calculation gives 0.000 μB/atom. Its space group is No. 4. The calculation puts the volume at 269 Å³/cell. For the mass density, the calculation gives 6.13 g cm⁻³.

=====

2) This record from the Alexandria database describes an optimized crystal structure of TlAuS3. The functional is PBE.

Unit cell a=4.9418 b=4.9418 c=4.9418 alpha=90.00 beta=90.00 gamma=90.00
With the nearest neighbours (Å) after each atom.
Sites, in units of the cell vectors:
Au 0.0000 0.0000 0.0000  6 S 2.47
Tl 0.5000 0.5000 0.5000  12 S 3.49
S 0.0000 0.0000 0.5000  2 Au 2.47
S 0.0000 0.5000 0.0000  2 Au 2.47
S 0.5000 0.0000 0.0000  2 Au 2.47

Summary:
For the magnetic moment, the calculation gives 0.000 μB/atom. Its space group is No. 221. The calculation puts the volume at 121 Å³/cell. For the mass density, the calculation gives 6.85 g cm⁻³.

=====

Last place for stability: 2)

=====

1) This record from the Alexandria database describes an optimized crystal structure of Tm2AuS. The functional is PBE.

Unit cell a=4.0662 b=3.8875 c=11.3056 alpha=99.90 beta=90.00 gamma=90.00
With the nearest neighbours (Å) after each atom.
Sites, in units of the cell vectors:
Tm 0.2500 0.3147 0.6295  5 S 2.70-2.82
Tm 0.2500 0.0714 0.1427  1 S 2.72, 4 Au 2.86
Tm 0.7500 0.6853 0.3705  5 S 2.70-2.82
Tm 0.7500 0.9286 0.8573  1 S 2.72, 4 Au 2.86
Au 0.7500 0.5472 0.0943  5 Tm 2.86-3.08, 2 Au 2.92
Au 0.2500 0.4528 0.9057  5 Tm 2.86-3.08, 2 Au 2.92
S 0.2500 0.1937 0.3873  6 Tm 2.70-2.82
S 0.7500 0.8063 0.6127  6 Tm 2.70-2.82

Summary:
For the magnetic moment, the calculation gives 0.000 μB/atom. Its space group is No. 63. The calculation puts the volume at 176 Å³/cell. For the mass density, the calculation gives 10.69 g cm⁻³.

=====

2) This record from the Alexandria database describes an optimized crystal structure of Tm2AuS. The functional is PBE.

Unit cell a=3.7720 b=3.7720 c=7.7990 alpha=76.01 beta=76.01 gamma=60.00
With the nearest neighbours (Å) after each atom.
Sites, in units of the cell vectors:
S 0.4979 0.4979 0.5062  6 Tm 2.81-2.88
Tm 0.0854 0.0854 0.7439  3 S 2.81, 3 Au 2.88
Tm 0.2486 0.2486 0.2542  3 S 2.88, 3 Au 2.91
Au 0.6681 0.6681 0.9957  6 Tm 2.88-2.91

Summary:
For the magnetic moment, the calculation gives 0.000 μB/atom. Its space group is No. 160. The calculation puts the volume at 92 Å³/cell. For the mass density, the calculation gives 10.20 g cm⁻³.

=====

Last place for stability: 2)

=====

1) This record from the Alexandria database describes an optimized crystal structure of V3AuS. The functional is PBE.

Unit cell a=4.3211 b=4.3211 c=4.3211 alpha=90.00 beta=90.00 gamma=90.00
With the nearest neighbours (Å) after each atom.
Sites, in units of the cell vectors:
V 0.5000 0.0000 0.0000  2 S 2.16
V 0.0000 0.5000 0.0000  2 S 2.16
V 0.0000 0.0000 0.5000  2 S 2.16
S 0.0000 0.0000 0.0000  6 V 2.16
Au 0.5000 0.5000 0.5000  12 V 3.06

Summary:
For the magnetic moment, the calculation gives 0.888 μB/atom. Its space group is No. 221. The calculation puts the volume at 81 Å³/cell. For the mass density, the calculation gives 7.86 g cm⁻³.

=====

2) This record from the Alexandria database describes an optimized crystal structure of V3AuS. The functional is PBE.

Unit cell a=4.8653 b=4.8653 c=4.8653 alpha=90.00 beta=90.00 gamma=90.00
With the nearest neighbours (Å) after each atom.
Sites, in units of the cell vectors:
S 0.5000 0.5000 0.5000  12 V 3.44
Au 0.0000 0.0000 0.0000  6 V 2.43
V 0.5000 0.0000 0.0000  2 Au 2.43
V 0.0000 0.5000 0.0000  2 Au 2.43
V 0.0000 0.0000 0.5000  2 Au 2.43

Summary:
For the magnetic moment, the calculation gives 1.377 μB/atom. Its space group is No. 221. The calculation puts the volume at 115 Å³/cell. For the mass density, the calculation gives 5.51 g cm⁻³.

=====

Last place for stability: 2)

=====

1) This record from the Alexandria database describes an optimized crystal structure of VAuS3. The functional is PBE.

Unit cell a=4.5726 b=4.5726 c=4.5726 alpha=90.00 beta=90.00 gamma=90.00
With the nearest neighbours (Å) after each atom.
Sites, in units of the cell vectors:
S 0.0000 0.0000 0.5000  2 V 2.29
S 0.5000 0.0000 0.0000  2 V 2.29
S 0.0000 0.5000 0.0000  2 V 2.29
Au 0.5000 0.5000 0.5000  12 S 3.23
V 0.0000 0.0000 0.0000  6 S 2.29

Summary:
For the magnetic moment, the calculation gives 0.003 μB/atom. Its space group is No. 221. The calculation puts the volume at 96 Å³/cell. For the mass density, the calculation gives 5.98 g cm⁻³.

=====

2) This record from the Alexandria database describes an optimized crystal structure of VAuS3. The functional is PBE.

Unit cell a=4.8037 b=4.8037 c=4.8037 alpha=90.00 beta=90.00 gamma=90.00
With the nearest neighbours (Å) after each atom.
Sites, in units of the cell vectors:
S 0.0000 0.0000 0.5000  2 Au 2.40
S 0.5000 0.0000 0.0000  2 Au 2.40
S 0.0000 0.5000 0.0000  2 Au 2.40
V 0.5000 0.5000 0.5000  12 S 3.40
Au 0.0000 0.0000 0.0000  6 S 2.40

Summary:
For the magnetic moment, the calculation gives 0.383 μB/atom. Its space group is No. 221. The calculation puts the volume at 111 Å³/cell. For the mass density, the calculation gives 5.15 g cm⁻³.

=====

Last place for stability: 2)

=====

1) This record from the Alexandria database describes an optimized crystal structure of WAuS2. The functional is PBE.

Unit cell a=5.7013 b=5.7013 c=6.6499 alpha=64.62 beta=64.62 gamma=90.00
With the nearest neighbours (Å) after each atom.
Sites, in units of the cell vectors:
Au 0.7500 0.2500 0.5000  4 S 2.54
Au 0.0000 0.0000 0.0000  4 S 2.54
S 0.3750 0.4105 0.7500  2 W 2.30, 2 Au 2.54
S 0.1605 0.6250 0.2500  2 W 2.30, 2 Au 2.54
S 0.8750 0.8395 0.7500  2 W 2.30, 2 Au 2.54
S 0.5895 0.1250 0.2500  2 W 2.30, 2 Au 2.54
W 0.2500 0.7500 0.5000  4 S 2.30
W 0.5000 0.5000 0.0000  4 S 2.30

Summary:
For the magnetic moment, the calculation gives 0.000 μB/atom. Its space group is No. 122. The calculation puts the volume at 172 Å³/cell. For the mass density, the calculation gives 8.60 g cm⁻³.

=====

2) This record from the Alexandria database describes an optimized crystal structure of WAuS2. The functional is PBE.

Unit cell a=8.1674 b=8.1674 c=8.1674 alpha=22.81 beta=22.81 gamma=22.81
With the nearest neighbours (Å) after each atom.
Sites, in units of the cell vectors:
S 0.8990 0.8990 0.8990  1 Au 2.41, 3 W 2.44
S 0.1010 0.1010 0.1010  1 Au 2.41, 3 W 2.44
Au 0.0000 0.0000 0.0000  2 S 2.41
W 0.5000 0.5000 0.5000  6 S 2.44

Summary:
For the magnetic moment, the calculation gives 0.000 μB/atom. Its space group is No. 166. The calculation puts the volume at 72 Å³/cell. For the mass density, the calculation gives 10.28 g cm⁻³.

=====

Last place for stability: 1)